The following is a PBE+U calculation of GaCoCuO4 after structural relaxation, from Alexandria.

a b c (Å): 5.9223 5.9393 8.4644
angles (deg): 90.00 90.00 90.00
Closest atoms and distances in Å follow each position.
Space group Imma (No. 74)
Inequivalent atoms, fractional coordinates:
Ga 0.0000 0.0000 0.0000 (multiplicity 4)  6 O 2.00-2.01
Co 0.0000 0.2500 0.3742 (multiplicity 4)  4 O 1.97
Cu 0.2500 0.2500 0.7500 (multiplicity 4)  6 O 2.03-2.06
O 0.0000 0.0166 0.7637 (multiplicity 8)  1 Co 1.97, 1 Ga 2.00, 2 Cu 2.03
O 0.2279 0.2500 0.9924 (multiplicity 8)  1 Co 1.97, 2 Ga 2.01, 1 Cu 2.06

Properties
Final energy: -159.41 eV for the cell shown
V: 10.6 A^3/atom